[1]
Here is Cr2WBr after structural relaxation from the Alexandria database. Energies are from PBE-GGA.

abc: 4.1172 4.1172 7.8672
angles: 60.59 60.59 42.99
Positions (direct):
Cr (0.4334, 0.4334, 0.4241)
Cr (0.0666, 0.0666, 0.0759)
W (0.2500, 0.2500, 0.2500)
Br (0.7500, 0.7500, 0.7500)

Results
The energy above the most stable polymorph in this dataset is 1.15 eV per formula unit. The density of states at the Fermi level comes out at 2.37 states/eV/f.u. As for the crystal system: monoclinic. The space group is C2/m, No. 12.

[2]
Here is CrW2Br after structural relaxation from the Alexandria database. Energies are from PBE-GGA.

abc: 5.0259 5.0259 4.5616
angles: 81.89 81.89 35.28
Positions (direct):
W (0.9836, 0.9836, 0.0319)
W (0.5164, 0.5164, 0.4681)
Br (0.7500, 0.7500, 0.7500)
Cr (0.2500, 0.2500, 0.2500)

Results
The energy above the most stable polymorph in this dataset is 1.50 eV per formula unit. The density of states at the Fermi level comes out at 2.99 states/eV/f.u. As for the crystal system: monoclinic. The space group is C2/m, No. 12.

[3]
Here is Cr2WBr after structural relaxation from the Alexandria database. Energies are from PBE-GGA.

abc: 4.4137 4.4137 4.4137
angles: 60.00 60.00 60.00
Positions (direct):
Br (0.5000, 0.5000, 0.5000)
Cr (0.2500, 0.2500, 0.2500)
Cr (0.0000, 0.0000, 0.0000)
W (0.7500, 0.7500, 0.7500)

Results
The energy above the most stable polymorph in this dataset is 2.85 eV per formula unit. The density of states at the Fermi level comes out at 4.15 states/eV/f.u. As for the crystal system: cubic. The space group is F-43m, No. 216.

[4]
Here is CrW2Br after structural relaxation from the Alexandria database. Energies are from PBE-GGA.

abc: 5.3797 5.3797 5.3797
angles: 139.14 139.14 59.17
Positions (direct):
W (0.5000, 0.5000, 0.0000)
W (0.0000, 0.0000, 0.0000)
Cr (0.7500, 0.2500, 0.5000)
Br (0.2500, 0.7500, 0.5000)

Results
The energy above the most stable polymorph in this dataset is 2.54 eV per formula unit. The density of states at the Fermi level comes out at 2.92 states/eV/f.u. As for the crystal system: tetragonal. The space group is I4/mmm, No. 139.